Model 1:
Below is a relaxed Ce2Zn3Au2 crystal, with properties calculated at the GGA-PBE level.

Cell: 4.5942 5.5478 6.7194 Å, 107.91 90.00 114.46°
Last column: magnetic moment on the atom in μB.
Positions (direct):
1 Ce 0.8546 0.7091 0.2325  0.65
2 Ce 0.1454 0.2909 0.7675  0.65
3 Zn 0.5000 0.0000 0.0000  0.01
4 Zn 0.5978 0.1957 0.4176  0.00
5 Zn 0.4022 0.8043 0.5824  0.00
6 Au 0.8435 0.6870 0.7622  0.00
7 Au 0.1565 0.3130 0.2378  0.00

Calculated values
symmetry	C2/m
total moment	1.574	μB/f.u.
D(E_F)	1.75	states/eV per atom



Model 2:
Below is a relaxed Ce2Zn3Au2 crystal, with properties calculated at the GGA-PBE level.

Cell: 4.0896 7.6014 9.8697 Å, 90.00 101.96 90.00°
Last column: magnetic moment on the atom in μB.
Positions (direct):
1 Ce 0.1570 0.2500 0.3139  0.58
2 Ce 0.8430 0.7500 0.6861  0.58
3 Ce 0.9354 0.2500 0.8708  0.86
4 Ce 0.0646 0.7500 0.1292  0.86
5 Zn 0.2282 0.7500 0.4563  0.01
6 Zn 0.7718 0.2500 0.5437  0.01
7 Zn 0.5538 0.4160 0.1076  0.01
8 Zn 0.4462 0.5840 0.8924  0.01
9 Zn 0.4462 0.9160 0.8924  0.01
10 Zn 0.5538 0.0840 0.1076  0.01
11 Au 0.6821 0.9481 0.3641  0.00
12 Au 0.3179 0.0519 0.6359  0.00
13 Au 0.3179 0.4481 0.6359  0.00
14 Au 0.6821 0.5519 0.3641  0.00

Calculated values
symmetry	Cmcm
total moment	1.793	μB/f.u.
D(E_F)	1.92	states/eV per atom



Verdict on stability: model 2 comes out at the bottom.



Model 1:
Below is a relaxed CeZn3Au3 crystal, with properties calculated at the GGA-PBE level.

Cell: 7.0732 7.0732 7.6084 Å, 62.30 62.30 60.00°
Last column: magnetic moment on the atom in μB.
Positions (direct):
1 Ce 0.3393 0.3393 0.9820  0.71
2 Ce 0.6607 0.6607 0.0180  0.71
3 Zn 0.5475 0.7287 0.6184  0.00
4 Zn 0.7287 0.1054 0.6184  0.00
5 Zn 0.1054 0.5475 0.6184  0.00
6 Zn 0.8946 0.4525 0.3816  0.00
7 Zn 0.2713 0.8946 0.3816  0.00
8 Zn 0.4525 0.2713 0.3816  0.00
9 Au 0.1701 0.6919 0.2098  0.00
10 Au 0.9282 0.1701 0.2098  0.00
11 Au 0.6919 0.9282 0.2098  0.00
12 Au 0.3081 0.0718 0.7902  0.00
13 Au 0.0718 0.8299 0.7902  0.00
14 Au 0.8299 0.3081 0.7902  0.00

Calculated values
symmetry	R-3
total moment	0.758	μB/f.u.
D(E_F)	1.10	states/eV per atom



Model 2:
Below is a relaxed CeZn3Au3 crystal, with properties calculated at the GGA-PBE level.

Cell: 8.6093 8.6093 8.6093 Å, 60.00 60.00 60.00°
Last column: magnetic moment on the atom in μB.
Positions (direct):
1 Ce 0.2500 0.2500 0.2500  1.46
2 Ce 0.7500 0.7500 0.7500  1.46
3 Zn 0.1461 0.8539 0.8539  0.00
4 Zn 0.1461 0.8539 0.1461  0.00
5 Zn 0.1461 0.1461 0.8539  0.00
6 Zn 0.8539 0.1461 0.8539  0.00
7 Zn 0.8539 0.1461 0.1461  0.00
8 Zn 0.8539 0.8539 0.1461  0.00
9 Au 0.3386 0.6614 0.3386  0.00
10 Au 0.3386 0.6614 0.6614  0.00
11 Au 0.3386 0.3386 0.6614  0.00
12 Au 0.6614 0.3386 0.6614  0.00
13 Au 0.6614 0.3386 0.3386  0.00
14 Au 0.6614 0.6614 0.3386  0.00

Calculated values
symmetry	Fm-3m
total moment	1.680	μB/f.u.
D(E_F)	1.98	states/eV per atom



Verdict on stability: model 2 comes out at the bottom.



Model 1:
Below is a relaxed CeZnAu4 crystal, with properties calculated at the GGA-PBE level.

Cell: 5.5963 5.5963 5.5963 Å, 60.00 60.00 60.00°
Last column: magnetic moment on the atom in μB.
Positions (direct):
1 Zn 0.0000 0.0000 0.0000  0.00
2 Au 0.6257 0.6257 0.1230  -0.01
3 Au 0.6257 0.1230 0.6257  -0.01
4 Au 0.6257 0.6257 0.6257  -0.01
5 Au 0.1230 0.6257 0.6257  -0.01
6 Ce 0.2500 0.2500 0.2500  0.70

Calculated values
symmetry	F-43m
total moment	0.674	μB/f.u.
D(E_F)	1.56	states/eV per atom



Model 2:
Below is a relaxed CeZnAu4 crystal, with properties calculated at the GGA-PBE level.

Cell: 5.0536 7.2804 7.4237 Å, 90.00 109.90 90.00°
Last column: magnetic moment on the atom in μB.
Positions (direct):
1 Ce 0.3852 0.7500 0.7703  0.86
2 Ce 0.6148 0.2500 0.2297  0.86
3 Zn 0.1337 0.7500 0.2674  0.00
4 Zn 0.8663 0.2500 0.7326  0.00
5 Au 0.2152 0.4379 0.4305  0.00
6 Au 0.7848 0.5621 0.5695  0.00
7 Au 0.2152 0.0621 0.4305  0.00
8 Au 0.7848 0.9379 0.5695  0.00
9 Au 0.5954 0.7500 0.1908  -0.01
10 Au 0.4046 0.2500 0.8092  -0.01
11 Au 0.0000 0.5000 0.0000  -0.01
12 Au 0.0000 0.0000 0.0000  -0.01

Calculated values
symmetry	Cmcm
total moment	0.931	μB/f.u.
D(E_F)	1.42	states/eV per atom



Verdict on stability: model 1 comes out at the bottom.